1.
Entry from Alexandria via LeMat-Bulk: AlVAsBr2 after structural relaxation (GGA-PBE).

Output
**Energy relative to the elements, uncorrected**: 0.37 eV/atom
**Crystal system**: tetragonal
**M_tot**: 2.863 Bohr magnetons per cell

Cell: 4.9659 4.9659 5.1239 Å, 90.00 90.00 90.00°
Fractional positions:
V: 0.5000 0.5000 0.5000
As: 0.0000 0.0000 0.5000
Br: 0.0000 0.5000 0.0000
Br: 0.5000 0.0000 0.0000
Al: 0.0000 0.0000 0.0000



2.
Entry from Alexandria via LeMat-Bulk: Ba2Sr3Ca5 after structural relaxation (GGA-PBE).

Output
**Formation energy**: 0.5 eV/f.u.
**Crystal system**: monoclinic
**M_tot**: 0.000 Bohr magnetons per cell

Cell: 12.9951 11.3579 11.8816 Å, 118.56 131.71 89.99°
Fractional positions:
Ba: 0.7516 0.5913 0.6715
Ba: 0.2484 0.4087 0.3285
Ba: 0.2515 0.0802 0.6715
Ba: 0.7485 0.9198 0.3285
Ca: 0.6585 0.5298 0.2467
Ca: 0.1585 0.7169 0.2467
Ca: 0.5795 0.8488 0.5200
Ca: 0.4205 0.1512 0.4800
Ca: 0.3415 0.4702 0.7533
Ca: 0.9205 0.3287 0.4800
Ca: 0.7500 0.5885 0.0000
Ca: 0.2500 0.4115 0.0000
Ca: 0.0795 0.6713 0.5200
Ca: 0.8415 0.2831 0.7533
Sr: 0.9798 0.0189 0.1734
Sr: 0.4798 0.1546 0.1734
Sr: 0.2500 0.7554 0.0000
Sr: 0.7500 0.2446 0.0000
Sr: 0.0202 0.9811 0.8266
Sr: 0.5202 0.8454 0.8266



3.
Entry from Alexandria via LeMat-Bulk: K3HBr2 after structural relaxation (GGA-PBE).

Output
**Crystal system**: tetragonal
**Energy**: -2.863 eV/atom
**M_tot**: 0.037 Bohr magnetons per cell

Cell: 4.6102 4.6103 10.0909 Å, 103.20 103.21 90.00°
Fractional positions:
K: 0.2796 0.2809 0.5645
K: 0.5890 0.5903 0.1834
K: 0.9340 0.9358 0.8740
H: 0.4340 0.4359 0.8740
Br: 0.7672 0.7684 0.5396
Br: 0.1015 0.1028 0.2083



4.
Entry from Alexandria via LeMat-Bulk: ZrHg2Sb after structural relaxation (GGA-PBE).

Output
**Energy relative to the elements, uncorrected**: 0.04 eV/atom
**Crystal system**: trigonal
**M_tot**: 0.000 Bohr magnetons per cell

Cell: 10.0690 10.0690 10.0690 Å, 19.22 19.22 19.22°
Fractional positions:
Sb: 0.2500 0.2500 0.2500
Hg: 0.4970 0.4970 0.4970
Hg: 0.0030 0.0030 0.0030
Zr: 0.7500 0.7500 0.7500



5.
Entry from Alexandria via LeMat-Bulk: BaNaSn3 after structural relaxation (GGA-PBE).

Output
**Formation energy**: 0.2 eV/f.u.
**Crystal system**: cubic
**M_tot**: 0.000 Bohr magnetons per cell

Cell: 5.5314 5.5314 5.5314 Å, 90.00 90.00 90.00°
Fractional positions:
Ba: 0.5000 0.5000 0.5000
Sn: 0.0000 0.0000 0.5000
Sn: 0.5000 0.0000 0.0000
Sn: 0.0000 0.5000 0.0000
Na: 0.0000 0.0000 0.0000



6.
Entry from Alexandria via LeMat-Bulk: Ta2PtBr after structural relaxation (GGA-PBE).

Output
**Energy relative to the elements, uncorrected**: 0.17 eV/atom
**Crystal system**: tetragonal
**M_tot**: 0.000 Bohr magnetons per cell

Cell: 4.8331 4.8331 2.9458 Å, 90.00 90.00 90.06°
Fractional positions:
Br: 0.5000 0.0000 0.5000
Ta: 0.0000 0.0000 0.0000
Ta: 0.5000 0.5000 0.0000
Pt: 0.0000 0.5000 0.5000



Question: Which value of M_tot does entry 1 give?
Answer: 2.863 Bohr magnetons per cell



Question: What is the M_tot in the sixth record?
Answer: 0.000 Bohr magnetons per cell